# Ce4Pd12Pt PBE-GGA relaxed
data_Ce4Pd12Pt
_cell_length_a 7.449
_cell_length_b 7.449
_cell_length_c 7.449
_cell_angle_alpha 109.47
_cell_angle_beta 109.47
_cell_angle_gamma 109.47
_symmetry_space_group_name_H-M 'P 1'
_symmetry_Int_Tables_number 1
loop_
_symmetry_equiv_pos_as_xyz
'x,y,z'
loop_
_atom_site_label
_atom_site_fract_x
_atom_site_fract_y
_atom_site_fract_z
Ce1 0.000 0.000 0.500
Ce2 0.000 0.500 0.000
Ce3 0.500 0.000 0.000
Ce4 0.500 0.500 0.500
Pd1 0.000 0.301 0.301
Pd2 0.000 0.699 0.699
Pd3 0.250 0.500 0.750
Pd4 0.250 0.750 0.500
Pd5 0.301 0.000 0.301
Pd6 0.301 0.301 0.000
Pd7 0.500 0.250 0.750
Pd8 0.500 0.750 0.250
Pd9 0.699 0.000 0.699
Pd10 0.699 0.699 0.000
Pd11 0.750 0.250 0.500
Pd12 0.750 0.500 0.250
Pt1 0.000 0.000 0.000
# **Space group**: Im-3m, No. 229
# **DFT total energy**: -6.1194 eV per atom
# **ΔH_f (0 K)**: -0.70 eV per atom



# LaPm12Ho6 PBE-GGA relaxed
data_LaPm12Ho6
_cell_length_a 8.661
_cell_length_b 8.661
_cell_length_c 8.661
_cell_angle_alpha 88.82
_cell_angle_beta 88.82
_cell_angle_gamma 88.82
_symmetry_space_group_name_H-M 'P 1'
_symmetry_Int_Tables_number 1
loop_
_symmetry_equiv_pos_as_xyz
'x,y,z'
loop_
_atom_site_label
_atom_site_fract_x
_atom_site_fract_y
_atom_site_fract_z
La1 0.000 0.000 0.000
Pm1 0.016 0.362 0.199
Pm2 0.199 0.016 0.362
Pm3 0.221 0.567 0.462
Pm4 0.362 0.199 0.016
Pm5 0.433 0.538 0.779
Pm6 0.462 0.221 0.567
Pm7 0.538 0.779 0.433
Pm8 0.567 0.462 0.221
Pm9 0.638 0.801 0.984
Pm10 0.779 0.433 0.538
Pm11 0.801 0.984 0.638
Pm12 0.984 0.638 0.801
Ho1 0.099 0.259 0.697
Ho2 0.259 0.697 0.099
Ho3 0.303 0.901 0.741
Ho4 0.697 0.099 0.259
Ho5 0.741 0.303 0.901
Ho6 0.901 0.741 0.303
# **Space group**: R-3, No. 148
# **DFT total energy**: -4.5704 eV per atom
# **ΔH_f (0 K)**: 0.13 eV per atom
# **Energy above the lowest structure with this stoichiometry**: 0 meV/atom



# PmBiPd2 PBE-GGA relaxed
data_PmBiPd2
_cell_length_a 4.973
_cell_length_b 4.973
_cell_length_c 4.973
_cell_angle_alpha 60.00
_cell_angle_beta 60.00
_cell_angle_gamma 60.00
_symmetry_space_group_name_H-M 'P 1'
_symmetry_Int_Tables_number 1
loop_
_symmetry_equiv_pos_as_xyz
'x,y,z'
loop_
_atom_site_label
_atom_site_fract_x
_atom_site_fract_y
_atom_site_fract_z
Pm1 0.000 0.000 0.000
Bi1 0.500 0.500 0.500
Pd1 0.250 0.250 0.250
Pd2 0.750 0.750 0.750
# **Space group**: Fm-3m, No. 225
# **DFT total energy**: -5.4699 eV per atom
# **ΔH_f (0 K)**: -0.72 eV per atom
# **Energy above the lowest structure with this stoichiometry**: 7 meV/atom



# Y3Tm3Pd4 PBE-GGA relaxed
data_Y3Tm3Pd4
_cell_length_a 4.021
_cell_length_b 7.693
_cell_length_c 7.693
_cell_angle_alpha 90.48
_cell_angle_beta 90.00
_cell_angle_gamma 90.00
_symmetry_space_group_name_H-M 'P 1'
_symmetry_Int_Tables_number 1
loop_
_symmetry_equiv_pos_as_xyz
'x,y,z'
loop_
_atom_site_label
_atom_site_fract_x
_atom_site_fract_y
_atom_site_fract_z
Y1 0.000 0.000 0.000
Y2 0.000 0.172 0.501
Y3 0.000 0.501 0.172
Tm1 0.000 0.671 0.671
Tm2 0.500 0.337 0.836
Tm3 0.500 0.836 0.337
Pd1 0.500 0.203 0.203
Pd2 0.500 0.475 0.475
Pd3 0.500 0.699 0.966
Pd4 0.500 0.966 0.699
# **Space group**: Amm2, No. 38
# **DFT total energy**: -6.1086 eV per atom
# **ΔH_f (0 K)**: -0.75 eV per atom



# Ag2SbSe PBE-GGA relaxed
data_Ag2SbSe
_cell_length_a 10.063
_cell_length_b 10.063
_cell_length_c 10.063
_cell_angle_alpha 18.31
_cell_angle_beta 18.31
_cell_angle_gamma 18.31
_symmetry_space_group_name_H-M 'P 1'
_symmetry_Int_Tables_number 1
loop_
_symmetry_equiv_pos_as_xyz
'x,y,z'
loop_
_atom_site_label
_atom_site_fract_x
_atom_site_fract_y
_atom_site_fract_z
Ag1 0.000 0.000 0.000
Ag2 0.258 0.258 0.258
Sb1 0.747 0.747 0.747
Se1 0.520 0.520 0.520
# **Space group**: R3m, No. 160
# **DFT total energy**: -3.0772 eV per atom



# HoGa2Pd3 PBE-GGA relaxed
data_HoGa2Pd3
_cell_length_a 4.407
_cell_length_b 4.407
_cell_length_c 12.355
_cell_angle_alpha 90.00
_cell_angle_beta 90.00
_cell_angle_gamma 120.00
_symmetry_space_group_name_H-M 'P 1'
_symmetry_Int_Tables_number 1
loop_
_symmetry_equiv_pos_as_xyz
'x,y,z'
loop_
_atom_site_label
_atom_site_fract_x
_atom_site_fract_y
_atom_site_fract_z
Ho1 0.000 0.000 0.250
Ho2 0.000 0.000 0.750
Ga1 0.333 0.667 0.086
Ga2 0.333 0.667 0.414
Ga3 0.667 0.333 0.586
Ga4 0.667 0.333 0.914
Pd1 0.000 0.000 0.000
Pd2 0.000 0.000 0.500
Pd3 0.333 0.667 0.627
Pd4 0.333 0.667 0.873
Pd5 0.667 0.333 0.127
Pd6 0.667 0.333 0.373
# **Space group**: P6_3/mmc, No. 194
# **DFT total energy**: -5.1978 eV per atom
# **ΔH_f (0 K)**: -0.83 eV per atom